## NaLiMn3 (PBE)

Data for a relaxed NaLiMn3 crystal.

abc: 4.641 4.641 4.641
angles: 90.00 90.00 90.00
Sites, in units of the cell vectors:
Mn1 0.000 0.000 0.500
Mn2 0.000 0.500 0.000
Mn3 0.500 0.000 0.000
Na1 0.500 0.500 0.500
Li1 0.000 0.000 0.000

Results
- DFT formation energy: 105.36 kJ/mol of atoms
- Relative energy among the computed polymorphs: 0 meV per atom
- V: 100 Å³ per cell
- SG: Pm-3m, No. 221
- Total moment: 12.32 μB per formula unit

## SiRu2Rh (PBE)

Data for a relaxed SiRu2Rh crystal.

abc: 2.762 3.682 5.389
angles: 90.00 90.00 90.00
Sites, in units of the cell vectors:
Rh1 0.500 0.500 0.725
Ru1 0.000 0.000 0.024
Ru2 0.500 0.500 0.238
Si1 0.000 0.000 0.514

Results
- V: 55 Å³ per cell
- Formation energy (no corrections): -0.177 eV per atom
- SG: Pmm2, No. 25
- Total moment: 0.00 μB per formula unit

## Tl14SnHg (PBE)

Data for a relaxed Tl14SnHg crystal.

abc: 6.816 6.816 11.056
angles: 90.00 90.00 108.77
Sites, in units of the cell vectors:
Tl1 0.879 0.646 0.500
Tl2 0.638 0.869 0.240
Tl3 0.372 0.628 0.500
Tl4 0.638 0.869 0.760
Tl5 0.131 0.362 0.240
Tl6 0.376 0.147 0.000
Tl7 0.861 0.139 0.500
Tl8 0.139 0.861 0.241
Tl9 0.131 0.362 0.760
Tl10 0.354 0.121 0.500
Tl11 0.139 0.861 0.759
Tl12 0.853 0.624 0.000
Tl13 0.632 0.368 0.256
Tl14 0.632 0.368 0.744
Sn1 0.358 0.642 0.000
Hg1 0.867 0.133 0.000

Results
- DFT formation energy: 0.82 kJ/mol of atoms
- V: 486 Å³ per cell
- SG: Amm2, No. 38
- Total moment: 0.00 μB per formula unit